(1)
Below is a relaxed structure of MgTa3V, with properties calculated at the PBE-GGA level.

## Properties
Symmetry   No. 221
Mass density   9.935 Mg/m³
Crystal system   cubic
Energy above the most stable polymorph in this dataset   0 meV per atom

a = 4.6923 Å, b = 4.6923 Å, c = 4.6923 Å
α = 90.00°, β = 90.00°, γ = 90.00°
Element x y z (fractional)
Mg1 0.0000 0.0000 0.0000
Ta1 0.0000 0.5000 0.5000
Ta2 0.5000 0.0000 0.5000
Ta3 0.5000 0.5000 0.0000
V1 0.5000 0.5000 0.5000

=====

(2)
Below is a relaxed structure of MgTa3V, with properties calculated at the PBE-GGA level.

## Properties
Symmetry   No. 221
Mass density   9.789 Mg/m³
Crystal system   cubic
Energy above the most stable polymorph in this dataset   999 meV per atom

a = 4.7154 Å, b = 4.7154 Å, c = 4.7154 Å
α = 90.00°, β = 90.00°, γ = 90.00°
Element x y z (fractional)
Mg1 0.0000 0.0000 0.0000
Ta1 0.0000 0.0000 0.5000
Ta2 0.0000 0.5000 0.0000
Ta3 0.5000 0.0000 0.0000
V1 0.5000 0.5000 0.5000

=====

(3)
Below is a relaxed structure of MgTa2V, with properties calculated at the PBE-GGA level.

## Properties
Symmetry   No. 122
Mass density   9.650 Mg/m³
Crystal system   tetragonal
DFT total energy   -7.796 eV/atom

a = 3.9140 Å, b = 3.9140 Å, c = 19.6417 Å
α = 90.00°, β = 90.00°, γ = 90.00°
Element x y z (fractional)
Mg1 0.0000 0.0000 0.0000
Mg2 0.0000 0.5000 0.2500
Mg3 0.5000 0.0000 0.7500
Mg4 0.5000 0.5000 0.5000
Ta1 0.2391 0.2500 0.6250
Ta2 0.2500 0.7391 0.8750
Ta3 0.2500 0.7609 0.3750
Ta4 0.2609 0.2500 0.1250
Ta5 0.7391 0.7500 0.1250
Ta6 0.7500 0.2391 0.3750
Ta7 0.7500 0.2609 0.8750
Ta8 0.7609 0.7500 0.6250
V1 0.0000 0.0000 0.5000
V2 0.0000 0.5000 0.7500
V3 0.5000 0.0000 0.2500
V4 0.5000 0.5000 0.0000

=====

(4)
Below is a relaxed structure of Mg2TaV, with properties calculated at the PBE-GGA level.

## Properties
Symmetry   No. 225
Mass density   6.389 Mg/m³
Crystal system   cubic
Energy above the most stable polymorph in this dataset   0 meV per atom

a = 6.6315 Å, b = 6.6315 Å, c = 6.6315 Å
α = 90.00°, β = 90.00°, γ = 90.00°
Element x y z (fractional)
Mg1 0.2500 0.2500 0.2500
Mg2 0.2500 0.2500 0.7500
Mg3 0.2500 0.7500 0.2500
Mg4 0.2500 0.7500 0.7500
Mg5 0.7500 0.2500 0.2500
Mg6 0.7500 0.2500 0.7500
Mg7 0.7500 0.7500 0.2500
Mg8 0.7500 0.7500 0.7500
Ta1 0.0000 0.0000 0.0000
Ta2 0.0000 0.5000 0.5000
Ta3 0.5000 0.0000 0.5000
Ta4 0.5000 0.5000 0.0000
V1 0.0000 0.0000 0.5000
V2 0.0000 0.5000 0.0000
V3 0.5000 0.0000 0.0000
V4 0.5000 0.5000 0.5000

=====

(5)
Below is a relaxed structure of MgTa2V2, with properties calculated at the PBE-GGA level.

## Properties
Symmetry   No. 127
Mass density   9.478 Mg/m³
Crystal system   tetragonal
DFT total energy   -8.413 eV/atom

a = 7.1311 Å, b = 7.1311 Å, c = 3.3632 Å
α = 90.00°, β = 90.00°, γ = 90.00°
Element x y z (fractional)
Mg1 0.0000 0.0000 0.0000
Mg2 0.5000 0.5000 0.0000
Ta1 0.1733 0.3267 0.5000
Ta2 0.3267 0.8267 0.5000
Ta3 0.6733 0.1733 0.5000
Ta4 0.8267 0.6733 0.5000
V1 0.1209 0.6209 0.0000
V2 0.3791 0.1209 0.0000
V3 0.6209 0.8791 0.0000
V4 0.8791 0.3791 0.0000

=====

(6)
Below is a relaxed structure of MgTaV2, with properties calculated at the PBE-GGA level.

## Properties
Symmetry   No. 122
Mass density   7.472 Mg/m³
Crystal system   tetragonal
DFT total energy   -7.058 eV/atom

a = 7.0801 Å, b = 7.0801 Å, c = 5.4470 Å
α = 90.00°, β = 90.00°, γ = 90.00°
Element x y z (fractional)
Mg1 0.0000 0.0000 0.0000
Mg2 0.0000 0.5000 0.2500
Mg3 0.5000 0.0000 0.7500
Mg4 0.5000 0.5000 0.5000
Ta1 0.0000 0.0000 0.5000
Ta2 0.0000 0.5000 0.7500
Ta3 0.5000 0.0000 0.2500
Ta4 0.5000 0.5000 0.0000
V1 0.2459 0.2500 0.6250
V2 0.2500 0.7459 0.8750
V3 0.2500 0.7541 0.3750
V4 0.2541 0.2500 0.1250
V5 0.7459 0.7500 0.1250
V6 0.7500 0.2459 0.3750
V7 0.7500 0.2541 0.8750
V8 0.7541 0.7500 0.6250

=====

(7)
Below is a relaxed structure of Y2MgTaV, with properties calculated at the PBE-GGA level.

## Properties
Symmetry   No. 123
Mass density   5.174 Mg/m³
Crystal system   tetragonal
DFT total energy   -5.424 eV/atom

a = 5.2914 Å, b = 5.2914 Å, c = 4.9748 Å
α = 90.00°, β = 90.00°, γ = 90.00°
Element x y z (fractional)
Y1 0.0000 0.5000 0.0000
Y2 0.5000 0.0000 0.0000
Mg1 0.0000 0.0000 0.0000
Ta1 0.0000 0.0000 0.5000
V1 0.5000 0.5000 0.5000

=====

(8)
Below is a relaxed structure of Mg2Ta2W, with properties calculated at the PBE-GGA level.

## Properties
Symmetry   No. 127
Mass density   11.123 Mg/m³
Crystal system   tetragonal
Energy above the most stable polymorph in this dataset   0 meV per atom

a = 7.0683 Å, b = 7.0683 Å, c = 3.5518 Å
α = 90.00°, β = 90.00°, γ = 90.00°
Element x y z (fractional)
Mg1 0.1259 0.3741 0.0000
Mg2 0.3741 0.8741 0.0000
Mg3 0.6259 0.1259 0.0000
Mg4 0.8741 0.6259 0.0000
Ta1 0.1782 0.6782 0.5000
Ta2 0.3218 0.1782 0.5000
Ta3 0.6782 0.8218 0.5000
Ta4 0.8218 0.3218 0.5000
W1 0.0000 0.0000 0.0000
W2 0.5000 0.5000 0.0000